The following is a DFT calculation (PBE-GGA) of a relaxed Sm4GaGe crystal.

Lattice parameters (Å, degrees): 6.253 6.609 8.811 90.00 110.60 90.00
Sites, in units of the cell vectors:
Sm1 0.594 0.250 0.408
Sm2 0.406 0.750 0.592
Sm3 0.582 0.250 0.885
Sm4 0.418 0.750 0.115
Sm5 0.994 0.000 0.243
Sm6 0.006 0.500 0.757
Sm7 0.994 0.500 0.243
Sm8 0.006 0.000 0.757
Ga1 0.255 0.250 0.067
Ga2 0.745 0.750 0.933
Ge1 0.222 0.250 0.552
Ge2 0.778 0.750 0.448

- polymorph energy (0 for the lowest one) (eV per atom) = 0.000
- energy of formation (eV per atom) = -0.49
- space group = No. 11


The following is a DFT calculation (PBE-GGA) of a relaxed USi2 crystal.

Lattice parameters (Å, degrees): 7.598 7.598 7.598 150.22 150.22 42.62
Sites, in units of the cell vectors:
Si1 0.168 0.668 0.500
Si2 0.582 0.582 0.000
Si3 0.332 0.832 0.500
Si4 0.418 0.418 0.000
U1 0.750 0.250 0.500
U2 0.000 0.000 0.000

- space group = No. 141
- E_tot (eV per formula unit) = -23.08


The following is a DFT calculation (PBE-GGA) of a relaxed Y3CrN crystal.

Lattice parameters (Å, degrees): 4.828 4.828 4.828 90.00 90.00 90.00
Sites, in units of the cell vectors:
Y1 0.000 0.500 0.000
Y2 0.000 0.000 0.500
Y3 0.500 0.000 0.000
Cr1 0.500 0.500 0.500
N1 0.000 0.000 0.000

- polymorph energy (0 for the lowest one) (eV per atom) = 0.000
- space group = No. 221


The following is a DFT calculation (PBE-GGA) of a relaxed AlAs2Ru crystal.

Lattice parameters (Å, degrees): 4.663 4.408 4.430 55.89 90.00 90.00
Sites, in units of the cell vectors:
Ru1 0.000 0.547 0.545
As1 0.000 0.879 0.880
As2 0.500 0.378 0.376
Al1 0.500 0.696 0.698

- energy of formation (eV per atom) = -0.09
- space group = No. 6


The following is a DFT calculation (PBE-GGA) of a relaxed Ta2AlCd crystal.

Lattice parameters (Å, degrees): 5.147 5.147 5.197 79.75 79.75 32.97
Sites, in units of the cell vectors:
Cd1 0.251 0.251 0.269
Al1 0.493 0.493 0.491
Ta1 0.009 0.009 0.969
Ta2 0.747 0.747 0.771

- polymorph energy (0 for the lowest one) (eV per atom) = 0.138
- energy of formation (eV per atom) = 0.16
- space group = No. 8


The following is a DFT calculation (PBE-GGA) of a relaxed FeMo2WN crystal.

Lattice parameters (Å, degrees): 4.147 4.147 3.743 90.00 90.00 90.00
Sites, in units of the cell vectors:
Mo1 0.000 0.500 0.000
Mo2 0.500 0.000 0.000
Fe1 0.000 0.000 0.500
W1 0.500 0.500 0.500
N1 0.000 0.000 0.000

- space group = No. 123
- E_tot (eV per formula unit) = -51.62